11
Lattice="2.997 -5.085 0.000 2.997 5.085 0.000 -1.775 0.000 6.666" Properties=species:S:1:pos:R:3 comment="Rb2Nd2CrO6 PBE with a Hubbard U relaxed" rho_g_cm3=4.96 spacegroup="No. 12" vol_a3_per_fu=203.22 energy_ev_per_atom=-6.67 pbc="T T T"
Rb 2.997 3.446 0.000
Rb 2.997 -3.446 0.000
Nd 2.110 1.669 3.333
Nd 2.110 -1.669 3.333
Cr -0.888 0.000 3.333
O -0.044 1.459 4.400
O 0.856 0.000 2.209
O -0.044 -1.459 4.400
O 4.263 1.459 2.266
O 3.363 0.000 4.457
O 4.263 -1.459 2.266